# 1
Material: ZnNi2Ir
Method: DFT, PBE
State: relaxed

Output
Magnetic moment: 0.232 μB/atom
Calculated total energy: -21.90 eV for the cell shown
Volume: 50.1 Å³/cell
Formation enthalpy at 0 K: -51 meV/atom

```
data_ZnNi2Ir
_cell_length_a 3.6751
_cell_length_b 3.6751
_cell_length_c 3.7118
_cell_angle_alpha 90.00
_cell_angle_beta 90.00
_cell_angle_gamma 90.00
_symmetry_space_group_name_H-M 'P 4/m m m'
_symmetry_Int_Tables_number 123
_symmetry_space_group_name_Hall '-P 4 2'
loop_
_atom_site_label
_atom_site_type_symbol
_atom_site_fract_x
_atom_site_fract_y
_atom_site_fract_z
Zn1 Zn 0.0000 0.0000 0.0000
Ni1 Ni 0.0000 0.5000 0.5000
Ir1 Ir 0.5000 0.5000 0.0000
```



# 2
Material: MoHRu2
Method: DFT, PBE
State: relaxed

Output
Magnetic moment: 0.000 μB/atom
Calculated total energy: -97.64 eV for the cell shown
Offset from the most stable computed form: 0.075 eV/atom
Volume: 137.2 Å³/cell

```
data_MoHRu2
_cell_length_a 2.7910
_cell_length_b 2.7910
_cell_length_c 20.3448
_cell_angle_alpha 90.00
_cell_angle_beta 90.00
_cell_angle_gamma 120.00
_symmetry_space_group_name_H-M 'R -3 m'
_symmetry_Int_Tables_number 166
_symmetry_space_group_name_Hall '-R 3 2"'
loop_
_atom_site_label
_atom_site_type_symbol
_atom_site_fract_x
_atom_site_fract_y
_atom_site_fract_z
Mo1 Mo 0.0000 0.0000 0.0000
H1 H 0.0000 0.0000 0.5000
Ru1 Ru 0.0000 0.0000 0.2245
```



# 3
Material: SrLaTc2
Method: DFT, PBE
State: relaxed

Output
Magnetic moment: 0.000 μB/atom
Calculated total energy: -51.87 eV for the cell shown
Offset from the most stable computed form: 0.048 eV/atom
Volume: 221.8 Å³/cell
Formation enthalpy at 0 K: 351 meV/atom

```
data_SrLaTc2
_cell_length_a 3.8328
_cell_length_b 5.0621
_cell_length_c 11.4322
_cell_angle_alpha 90.00
_cell_angle_beta 90.00
_cell_angle_gamma 90.00
_symmetry_space_group_name_H-M 'I m m 2'
_symmetry_Int_Tables_number 44
loop_
_symmetry_equiv_pos_as_xyz
'x,y,z'
'-x,-y,z'
'-x,y,z'
'x,-y,z'
'x+1/2,y+1/2,z+1/2'
'-x+1/2,-y+1/2,z+1/2'
'-x+1/2,y+1/2,z+1/2'
'x+1/2,-y+1/2,z+1/2'
loop_
_atom_site_label
_atom_site_type_symbol
_atom_site_fract_x
_atom_site_fract_y
_atom_site_fract_z
Sr1 Sr 0.0000 0.0000 0.0000
La1 La 0.0000 0.5000 0.2257
Tc1 Tc 0.0000 0.0000 0.3962
Tc2 Tc 0.0000 0.5000 0.7782
```



# 4
Material: TaSb2TeSe
Method: DFT, PBE
State: relaxed

Output
Magnetic moment: 0.000 μB/atom
Calculated total energy: -24.53 eV for the cell shown
Offset from the most stable computed form: 0.000 eV/atom
Volume: 151.0 Å³/cell
Raw formation energy: 439 meV per atom

```
data_TaSb2TeSe
_cell_length_a 5.3741
_cell_length_b 5.3741
_cell_length_c 5.2295
_cell_angle_alpha 90.00
_cell_angle_beta 90.00
_cell_angle_gamma 90.00
_symmetry_space_group_name_H-M 'P 4/m m m'
_symmetry_Int_Tables_number 123
_symmetry_space_group_name_Hall '-P 4 2'
loop_
_atom_site_label
_atom_site_type_symbol
_atom_site_fract_x
_atom_site_fract_y
_atom_site_fract_z
Ta1 Ta 0.0000 0.0000 0.0000
Sb1 Sb 0.0000 0.5000 0.0000
Te1 Te 0.0000 0.0000 0.5000
Se1 Se 0.5000 0.5000 0.5000
```



# 5
Material: TbZn2PN4
Method: DFT, PBE
State: relaxed

Output
Magnetic moment: 0.000 μB/atom
Calculated total energy: -103.10 eV for the cell shown
Volume: 187.1 Å³/cell
Raw formation energy: -708 meV per atom

```
data_TbZn2PN4
_cell_length_a 5.0851
_cell_length_b 5.0851
_cell_length_c 7.2336
_cell_angle_alpha 90.00
_cell_angle_beta 90.00
_cell_angle_gamma 90.00
_symmetry_space_group_name_H-M 'I -4 2 m'
_symmetry_Int_Tables_number 121
_symmetry_space_group_name_Hall 'I -4 2'
loop_
_atom_site_label
_atom_site_type_symbol
_atom_site_fract_x
_atom_site_fract_y
_atom_site_fract_z
Tb1 Tb 0.0000 0.0000 0.0000
Zn1 Zn 0.0000 0.5000 0.2500
P1 P 0.0000 0.0000 0.5000
N1 N 0.1939 0.1939 0.3739
```



# 6
Material: Mg3AuF
Method: DFT, PBE
State: relaxed

Output
Magnetic moment: 0.000 μB/atom
Calculated total energy: -15.10 eV for the cell shown
Offset from the most stable computed form: 0.000 eV/atom
Volume: 83.0 Å³/cell
Raw formation energy: -1033 meV per atom

```
data_Mg3AuF
_cell_length_a 4.3627
_cell_length_b 4.3627
_cell_length_c 4.3627
_cell_angle_alpha 90.00
_cell_angle_beta 90.00
_cell_angle_gamma 90.00
_symmetry_space_group_name_H-M 'P m -3 m'
_symmetry_Int_Tables_number 221
_symmetry_space_group_name_Hall '-P 4 2 3'
loop_
_atom_site_label
_atom_site_type_symbol
_atom_site_fract_x
_atom_site_fract_y
_atom_site_fract_z
Mg1 Mg 0.0000 0.0000 0.5000
Au1 Au 0.5000 0.5000 0.5000
F1 F 0.0000 0.0000 0.0000
```



# 7
Material: YZnPt2
Method: DFT, PBE
State: relaxed

Output
Magnetic moment: 0.000 μB/atom
Calculated total energy: -84.12 eV for the cell shown
Volume: 381.9 Å³/cell
Formation enthalpy at 0 K: -303 meV/atom

```
data_YZnPt2
_cell_length_a 5.7635
_cell_length_b 8.6029
_cell_length_c 7.7014
_cell_angle_alpha 90.00
_cell_angle_beta 90.00
_cell_angle_gamma 90.00
_symmetry_space_group_name_H-M 'P m m a'
_symmetry_Int_Tables_number 51
loop_
_symmetry_equiv_pos_as_xyz
'x,y,z'
'-x,-y,-z'
'-x+1/2,-y,z'
'x+1/2,y,-z'
'x+1/2,-y,-z'
'-x+1/2,y,z'
'-x,y,-z'
'x,-y,z'
loop_
_atom_site_label
_atom_site_type_symbol
_atom_site_fract_x
_atom_site_fract_y
_atom_site_fract_z
Y1 Y 0.2500 0.0000 0.1825
Y2 Y 0.2500 0.5000 0.3143
Zn1 Zn 0.2500 0.0000 0.7652
Zn2 Zn 0.2500 0.5000 0.7137
Pt1 Pt 0.0000 0.0000 0.5000
Pt2 Pt 0.0000 0.5000 0.0000
Pt3 Pt 0.2500 0.2369 0.9568
```



# 8
Material: TbPaSiAg
Method: DFT, PBE
State: relaxed

Output
Magnetic moment: 0.263 μB/atom
Calculated total energy: -91.22 eV for the cell shown
Volume: 365.0 Å³/cell
Raw formation energy: -101 meV per atom

```
data_TbPaSiAg
_cell_length_a 7.1466
_cell_length_b 7.1466
_cell_length_c 7.1466
_cell_angle_alpha 90.00
_cell_angle_beta 90.00
_cell_angle_gamma 90.00
_symmetry_space_group_name_H-M 'F -4 3 m'
_symmetry_Int_Tables_number 216
_symmetry_space_group_name_Hall 'F -4 2 3'
loop_
_atom_site_label
_atom_site_type_symbol
_atom_site_fract_x
_atom_site_fract_y
_atom_site_fract_z
Tb1 Tb 0.0000 0.0000 0.0000
Pa1 Pa 0.0000 0.0000 0.5000
Si1 Si 0.2500 0.2500 0.2500
Ag1 Ag 0.2500 0.2500 0.7500
```